LiGe2Mo (PBE, relaxed); E above lowest polymorph = 6.77 kJ per mole of atoms; size of the total moment = 0.000 μB per atom; crystal system = monoclinic; space group = No. 13; DFT total energy = -5.5422 eV per atom
1.0
5.305 0.000 0.000
0.000 5.156 0.000
-1.625 0.000 9.483
Li Ge Mo
4 8 4
direct
0.234 0.171 0.144 Li
0.234 0.829 0.644 Li
0.766 0.171 0.356 Li
0.766 0.829 0.856 Li
0.102 0.336 0.606 Ge
0.102 0.664 0.106 Ge
0.310 0.130 0.415 Ge
0.310 0.870 0.915 Ge
0.690 0.130 0.085 Ge
0.690 0.870 0.585 Ge
0.898 0.336 0.894 Ge
0.898 0.664 0.394 Ge
0.391 0.373 0.862 Mo
0.391 0.627 0.362 Mo
0.609 0.373 0.638 Mo
0.609 0.627 0.138 Mo